Computed, not measured: a relaxed structure of AcDy6Th2 at the PBE level of DFT. Values from VASP.

The structure in Quantum ESPRESSO input format:
```
&SYSTEM
  ibrav = 0, nat = 9, ntyp = 3
/
ATOMIC_SPECIES
Ac 227.00 Ac.upf
Dy 162.50 Dy.upf
Th 232.04 Th.upf
CELL_PARAMETERS angstrom
3.610 0.000 0.000
-1.805 3.126 0.000
0.000 0.000 26.689
ATOMIC_POSITIONS crystal
Ac 0.000 0.000 0.000
Dy 0.000 0.000 0.222
Dy 0.000 0.000 0.438
Dy 0.000 0.000 0.562
Dy 0.000 0.000 0.778
Dy 0.333 0.667 0.117
Dy 0.333 0.667 0.883
Th 0.333 0.667 0.333
Th 0.333 0.667 0.667
```

Computed properties:
calculated volume: 33.47 Å³/atom
formation enthalpy at 0 K: 0.93 eV per formula unit
symmetry: P-6m2